No. 1
Here is crystalline NaSbPt4 at its relaxed geometry from the Alexandria database. Energies are from GGA-PBE.

a b c (Å): 5.3870 5.3870 5.3870
angles (deg): 60.00 60.00 60.00
Closest atoms and distances in Å follow each position.
Positions (direct):
Na 0.0000 0.0000 0.0000  12 Pt 3.16, 4 Sb 3.30
Sb 0.7500 0.7500 0.7500  12 Pt 3.16, 4 Na 3.30
Pt 0.3750 0.3750 0.3750  6 Pt 2.69
Pt 0.3750 0.3750 0.8750  6 Pt 2.69
Pt 0.3750 0.8750 0.3750  6 Pt 2.69
Pt 0.8750 0.3750 0.3750  6 Pt 2.69

Output
Calculated volume = 111 Å³/cell
Energy above the most stable polymorph in this dataset = 0 meV/atom
Spin magnetization = 0.0 μB per cell
Crystal system = cubic

---

No. 2
Here is crystalline Ti3IO at its relaxed geometry from the Alexandria database. Energies are from GGA-PBE.

a b c (Å): 4.2125 4.2125 4.2125
angles (deg): 90.00 90.00 90.00
Closest atoms and distances in Å follow each position.
Positions (direct):
Ti 0.0000 0.0000 0.5000  2 O 2.11
Ti 0.0000 0.5000 0.0000  2 O 2.11
Ti 0.5000 0.0000 0.0000  2 O 2.11
I 0.5000 0.5000 0.5000  12 Ti 2.98
O 0.0000 0.0000 0.0000  6 Ti 2.11

Output
Calculated volume = 75 Å³/cell
Energy above the most stable polymorph in this dataset = 0 meV/atom
Spin magnetization = 0.0 μB per cell
Crystal system = cubic

---

No. 3
Here is crystalline PmEuPdRh at its relaxed geometry from the Alexandria database. Energies are from GGA-PBE.

a b c (Å): 7.1165 7.1165 7.1165
angles (deg): 90.00 90.00 90.00
Closest atoms and distances in Å follow each position.
Positions (direct):
Pm 0.0000 0.0000 0.0000  4 Rh 3.08, 4 Pd 3.08
Pm 0.0000 0.5000 0.5000  4 Rh 3.08, 4 Pd 3.08
Pm 0.5000 0.0000 0.5000  4 Rh 3.08, 4 Pd 3.08
Pm 0.5000 0.5000 0.0000  4 Rh 3.08, 4 Pd 3.08
Eu 0.0000 0.0000 0.5000  4 Rh 3.08, 4 Pd 3.08
Eu 0.0000 0.5000 0.0000  4 Rh 3.08, 4 Pd 3.08
Eu 0.5000 0.0000 0.0000  4 Rh 3.08, 4 Pd 3.08
Eu 0.5000 0.5000 0.5000  4 Rh 3.08, 4 Pd 3.08
Pd 0.2500 0.2500 0.2500  4 Pm 3.08, 4 Eu 3.08
Pd 0.2500 0.7500 0.7500  4 Pm 3.08, 4 Eu 3.08
Pd 0.7500 0.2500 0.7500  4 Pm 3.08, 4 Eu 3.08
Pd 0.7500 0.7500 0.2500  4 Pm 3.08, 4 Eu 3.08
Rh 0.2500 0.2500 0.7500  4 Pm 3.08, 4 Eu 3.08
Rh 0.2500 0.7500 0.2500  4 Pm 3.08, 4 Eu 3.08
Rh 0.7500 0.2500 0.2500  4 Pm 3.08, 4 Eu 3.08
Rh 0.7500 0.7500 0.7500  4 Pm 3.08, 4 Eu 3.08

Output
Calculated volume = 360 Å³/cell
Spin magnetization = 27.3 μB per cell
Calculated formation energy = -0.62 eV/atom
Crystal system = cubic

---

No. 4
Here is crystalline Ce2Mg2Si4Pt at its relaxed geometry from the Alexandria database. Energies are from GGA-PBE.

a b c (Å): 6.2436 6.2436 6.2436
angles (deg): 119.35 119.35 91.13
Closest atoms and distances in Å follow each position.
Positions (direct):
Ce 0.2500 0.7500 0.5000  8 Si 3.13, 4 Mg 3.17
Ce 0.7500 0.2500 0.5000  8 Si 3.13, 4 Mg 3.17
Mg 0.2079 0.2079 0.0000  1 Pt 2.55, 4 Si 2.70
Mg 0.7921 0.7921 0.0000  1 Pt 2.55, 4 Si 2.70
Si 0.2241 0.2241 0.4483  1 Pt 2.46, 2 Mg 2.70
Si 0.2241 0.7759 0.0000  1 Pt 2.46, 2 Mg 2.70
Si 0.7759 0.2241 0.0000  1 Pt 2.46, 2 Mg 2.70
Si 0.7759 0.7759 0.5517  1 Pt 2.46, 2 Mg 2.70
Pt 0.5000 0.5000 0.0000  4 Si 2.46, 2 Mg 2.55

Output
Calculated volume = 174 Å³/cell
Spin magnetization = 1.1 μB per cell
Uncorrected energy = -5.258 eV/atom
Crystal system = tetragonal

---

Q: Among the records above, which one has the lowest calculated volume?
A: Ti3IO